(1)
Er3B2 | PBE-GGA | optimized geometry

Lattice parameters (Å, degrees): 6.678 6.678 4.128 90.00 90.00 90.00
Fractional positions:
B  0.409  0.091  0.000
B  0.909  0.409  0.000
B  0.091  0.591  0.000
B  0.591  0.909  0.000
Er  0.000  0.000  0.000
Er  0.500  0.500  0.000
Er  0.673  0.173  0.500
Er  0.173  0.327  0.500
Er  0.827  0.673  0.500
Er  0.327  0.827  0.500

## Properties
E, eV for the cell shown: -55.70
Symmetry: P4/mbm

(2)
ErB | PBE-GGA | optimized geometry

Lattice parameters (Å, degrees): 4.016 4.016 4.016 60.00 60.00 60.00
Fractional positions:
B  0.000  0.000  0.000
Er  0.250  0.250  0.250

## Properties
Relative energy among the computed polymorphs, meV per atom: 697
Symmetry: F-43m

(3)
ErB | PBE-GGA | optimized geometry

Lattice parameters (Å, degrees): 3.732 3.732 3.732 60.00 60.00 60.00
Last column: magnetic moment on the atom in μB.
Fractional positions:
B  0.000  0.000  0.000  0.14
Er  0.500  0.500  0.500  0.17

## Properties
Relative energy among the computed polymorphs, meV per atom: 94
Symmetry: Fm-3m

(4)
ErB2 | PBE-GGA | optimized geometry

Lattice parameters (Å, degrees): 4.580 4.580 4.580 60.00 60.00 60.00
Fractional positions:
B  0.625  0.625  0.125
B  0.625  0.125  0.625
B  0.125  0.625  0.625
B  0.625  0.625  0.625
Er  0.000  0.000  0.000
Er  0.250  0.250  0.250

## Properties
Relative energy among the computed polymorphs, meV per atom: 0
Symmetry: Fd-3m

(5)
ErB2 | PBE-GGA | optimized geometry

Lattice parameters (Å, degrees): 8.227 8.227 8.227 60.00 60.00 60.00
Last column: magnetic moment on the atom in μB.
Fractional positions:
B  0.375  0.375  0.375  0.56
B  0.375  0.875  0.375  0.54
B  0.875  0.375  0.375  0.69
B  0.375  0.375  0.875  0.54
Er  0.250  0.250  0.250  1.13
Er  0.500  0.500  0.500  1.13

## Properties
Relative energy among the computed polymorphs, meV per atom: 2421
Symmetry: Fd-3m

(6)
ErB | PBE-GGA | optimized geometry

Lattice parameters (Å, degrees): 3.745 3.745 5.972 90.00 90.00 120.00
Fractional positions:
B  0.000  0.000  0.000
B  0.000  0.000  0.500
Er  0.333  0.667  0.250
Er  0.667  0.333  0.750

## Properties
Relative energy among the computed polymorphs, meV per atom: 0
Symmetry: P6_3/mmc